(1)
DFT (meta-GGA SCAN) results for a PBEsol-optimized structure of TlFePt.

Output
VASP energy: -53.3933 eV/atom
total magnetization: 1.150 μB per atom
energy of formation: 0.17 eV per atom

a = 6.0892 Å, b = 6.0892 Å, c = 6.0892 Å
α = 152.14°, β = 152.14°, γ = 39.81°
With the nearest neighbours (Å) after each atom.
Fractional coordinates of all 3 atoms:
Tl 0.0000 0.0000 0.0000  4 Fe 2.88, 4 Tl 2.93, 4 Pt 3.01
Fe 0.3255 0.3255 0.0000  4 Pt 2.59, 4 Tl 2.88
Pt 0.6902 0.6902 0.0000  4 Fe 2.59

***

(2)
DFT (meta-GGA SCAN) results for a PBEsol-optimized structure of FePt2W.

Output
VASP energy: -57.3678 eV/atom
total magnetization: 0.828 μB per atom
energy of formation: -0.32 eV per atom

a = 4.7711 Å, b = 4.7711 Å, c = 2.6950 Å
α = 90.00°, β = 90.00°, γ = 111.27°
With the nearest neighbours (Å) after each atom.
Fractional coordinates of all 4 atoms:
Fe 0.0000 0.0000 0.0000  2 W 2.69, 2 Fe 2.69, 8 Pt 2.74
Pt 0.0000 0.5000 0.5000  4 Pt 2.69, 4 Fe 2.74, 4 W 2.74
Pt 0.5000 0.0000 0.5000  4 Pt 2.69, 4 Fe 2.74, 4 W 2.74
W 0.5000 0.5000 0.0000  2 Fe 2.69, 2 W 2.69, 8 Pt 2.74

***

(3)
DFT (meta-GGA SCAN) results for a PBEsol-optimized structure of Fe2PtW.

Output
VASP energy: -44.1833 eV/atom
total magnetization: 0.929 μB per atom
energy of formation: -0.15 eV per atom

a = 4.5915 Å, b = 4.5915 Å, c = 4.5915 Å
α = 132.53°, β = 132.53°, γ = 69.39°
With the nearest neighbours (Å) after each atom.
Fractional coordinates of all 4 atoms:
Fe 0.0000 0.0000 0.0000  4 W 2.61, 4 Fe 2.64, 4 Pt 2.64
Fe 0.7500 0.2500 0.5000  4 Pt 2.61, 4 W 2.64, 4 Fe 2.64
Pt 0.2500 0.7500 0.5000  8 Fe 2.61-2.64, 4 W 2.64
W 0.5000 0.5000 0.0000  8 Fe 2.61-2.64, 4 Pt 2.64

***

(4)
DFT (meta-GGA SCAN) results for a PBEsol-optimized structure of FePtW2.

Output
VASP energy: -56.9383 eV/atom
total magnetization: 0.000 μB per atom
energy of formation: -0.01 eV per atom

a = 2.7109 Å, b = 3.7987 Å, c = 5.4442 Å
α = 90.00°, β = 90.09°, γ = 90.00°
With the nearest neighbours (Å) after each atom.
Fractional coordinates of all 4 atoms:
Fe 0.0000 0.0000 0.0000  8 W 2.65, 2 Fe 2.71, 2 Pt 2.72
Pt 0.0000 0.0000 0.5000  2 Pt 2.71, 2 Fe 2.72, 8 W 2.75
W 0.4991 0.5000 0.2314  3 W 2.52-2.71, 4 Fe 2.65, 4 Pt 2.75
W 0.5009 0.5000 0.7686  3 W 2.52-2.71, 4 Fe 2.65, 4 Pt 2.75

***

(5)
DFT (meta-GGA SCAN) results for a PBEsol-optimized structure of Fe3PtW.

Output
VASP energy: -37.3011 eV/atom
total magnetization: 1.478 μB per atom
energy of formation: 1.55 eV per atom

a = 4.4910 Å, b = 4.4910 Å, c = 4.4910 Å
α = 90.00°, β = 90.00°, γ = 90.00°
With the nearest neighbours (Å) after each atom.
Fractional coordinates of all 5 atoms:
Fe 0.0000 0.0000 0.5000  2 Pt 2.25
Fe 0.0000 0.5000 0.0000  2 Pt 2.25
Fe 0.5000 0.0000 0.0000  2 Pt 2.25
Pt 0.0000 0.0000 0.0000  6 Fe 2.25
W 0.5000 0.5000 0.5000  12 Fe 3.18

***

(6)
DFT (meta-GGA SCAN) results for a PBEsol-optimized structure of FePtW.

Output
VASP energy: -52.8014 eV/atom
total magnetization: 0.704 μB per atom
energy of formation: -0.13 eV per atom

a = 4.6778 Å, b = 4.6778 Å, c = 4.6778 Å
α = 146.73°, β = 132.21°, γ = 59.47°
With the nearest neighbours (Å) after each atom.
Fractional coordinates of all 3 atoms:
Fe 0.0000 0.0000 0.0000  5 W 2.65-2.79, 2 Fe 2.68, 5 Pt 2.69
Pt 0.6684 0.6684 0.0000  5 W 2.64-2.72, 2 Pt 2.68, 5 Fe 2.69
W 0.3431 0.3431 0.0000  5 Pt 2.64-2.72, 5 Fe 2.65-2.79, 2 W 2.68

***

(7)
DFT (meta-GGA SCAN) results for a PBEsol-optimized structure of Fe4PtW.

Output
VASP energy: -35.4654 eV/atom
total magnetization: 1.233 μB per atom
energy of formation: -0.07 eV per atom

a = 4.6512 Å, b = 4.6512 Å, c = 4.6512 Å
α = 60.00°, β = 60.00°, γ = 60.00°
With the nearest neighbours (Å) after each atom.
Fractional coordinates of all 6 atoms:
Fe 0.1245 0.1245 0.1245  6 Fe 2.32-2.33
Fe 0.1245 0.1245 0.6265  6 Fe 2.32-2.33
Fe 0.1245 0.6265 0.1245  6 Fe 2.32-2.33
Fe 0.6265 0.1245 0.1245  6 Fe 2.32-2.33
Pt 0.7500 0.7500 0.7500  12 Fe 2.73, 4 W 2.85
W 0.5000 0.5000 0.5000  12 Fe 2.73, 4 Pt 2.85

***

(8)
DFT (meta-GGA SCAN) results for a PBEsol-optimized structure of FePtW2.

Output
VASP energy: -56.9700 eV/atom
total magnetization: 0.000 μB per atom
energy of formation: -0.05 eV per atom

a = 3.8028 Å, b = 3.8028 Å, c = 3.8658 Å
α = 90.00°, β = 90.00°, γ = 90.00°
With the nearest neighbours (Å) after each atom.
Fractional coordinates of all 4 atoms:
Fe 0.0000 0.0000 0.0000  4 Pt 2.69, 8 W 2.71
Pt 0.5000 0.5000 0.0000  4 Fe 2.69, 8 W 2.71
W 0.0000 0.5000 0.5000  4 W 2.69, 4 Fe 2.71, 4 Pt 2.71
W 0.5000 0.0000 0.5000  4 W 2.69, 4 Fe 2.71, 4 Pt 2.71